The following is a DFT calculation (PBE) of a geometry-optimized MnSnPHS structure.

Output
Its spin magnetization is 0.34 μB/f.u. As for the space group: Cm, No. 8. For the density of states at the Fermi level, the calculation gives 2.21 states/eV/cell. The value obtained for the energy above the most stable polymorph in this dataset is 0.41 eV/f.u.

Lattice parameters (Å, degrees): 4.794 4.794 5.955 113.91 113.91 36.02
Fractional positions:
Mn 0.000 0.000 0.000
Sn 0.661 0.661 0.750
P 0.461 0.461 0.253
H 0.442 0.442 0.812
S 0.244 0.244 0.301